Record 1
Material: KLaTiNbO6
Method: DFT, GGA-PBE
State: optimized geometry

```
10
Lattice="0.000 4.006 4.006 4.006 0.000 4.006 4.006 4.006 0.000" Properties=species:S:1:pos:R:3 pbc="T T T"
O 4.006 5.989 4.006
O 4.006 4.006 5.989
Ti 4.006 4.006 4.006
Nb 0.000 0.000 0.000
O 2.024 4.006 4.006
O 5.989 4.006 4.006
O 4.006 2.024 4.006
K 6.010 6.010 6.010
La 2.003 2.003 2.003
O 4.006 4.006 2.024
```

Computed properties:
Uncorrected formation energy = -2826.7 meV per atom
Electronic total energy = -82.0 eV for the cell shown
Magnetic moment = 0.0 μB per formula unit

Record 2
Material: KLaYNbO6
Method: DFT, GGA-PBE
State: optimized geometry

```
10
Lattice="0.000 4.210 4.210 4.210 0.000 4.210 4.210 4.210 0.000" Properties=species:S:1:pos:R:3 pbc="T T T"
Y 4.210 4.210 4.210
O 4.210 6.419 4.210
K 6.316 6.316 6.316
La 2.105 2.105 2.105
O 4.210 2.002 4.210
O 4.210 4.210 2.002
O 4.210 4.210 6.419
O 2.002 4.210 4.210
Nb 0.000 0.000 0.000
O 6.419 4.210 4.210
```

Computed properties:
Uncorrected formation energy = -2820.2 meV per atom
Electronic total energy = -80.5 eV for the cell shown
Magnetic moment = 0.0 μB per formula unit

Record 3
Material: K2LaNbS
Method: DFT, GGA-PBE
State: optimized geometry

```
5
Lattice="7.465 0.000 0.000 0.000 5.203 0.000 0.000 0.000 7.465" Properties=species:S:1:pos:R:3 pbc="T T T"
Nb 3.733 2.602 3.733
K 0.000 0.000 3.733
K 3.733 0.000 0.000
La 0.000 0.000 0.000
S 0.000 2.602 0.000
```

Computed properties:
Uncorrected formation energy = 921.8 meV per atom
Electronic total energy = -16.7 eV for the cell shown
Magnetic moment = 4.8 μB per formula unit

Record 4
Material: KLaNb2Sb
Method: DFT, GGA-PBE
State: optimized geometry

```
5
Lattice="-3.830 3.383 0.185 -3.930 -4.538 1.616 1.015 0.879 4.934" Properties=species:S:1:pos:R:3 pbc="T T T"
Nb -1.915 1.691 0.093
K -3.373 -0.138 3.368
Nb 0.507 0.439 2.467
La 0.000 0.000 0.000
Sb -1.965 -2.269 0.808
```

Computed properties:
Uncorrected formation energy = 1428.0 meV per atom
Electronic total energy = -23.1 eV for the cell shown
Magnetic moment = 0.0 μB per formula unit

Record 5
Material: K2LaTiNb
Method: DFT, GGA-PBE
State: optimized geometry

```
5
Lattice="-5.238 0.807 -3.260 -2.470 -1.800 3.523 -0.648 5.683 2.449" Properties=species:S:1:pos:R:3 pbc="T T T"
Ti -1.235 -0.900 1.762
Nb 0.000 0.000 0.000
K -0.324 2.842 1.224
K -2.619 0.403 -1.630
La -4.178 2.345 1.356
```

Computed properties:
Electronic total energy = -18.5 eV for the cell shown
Energy of formation from the pure elements = 6.62 eV per formula unit
Magnetic moment = 0.5 μB per formula unit

Record 6
Material: K3La2NdO6
Method: DFT, GGA-PBE
State: optimized geometry

```
12
Lattice="-4.285 2.451 4.086 3.369 -5.203 1.627 4.781 4.593 0.583" Properties=species:S:1:pos:R:3 pbc="T T T"
Nd 0.000 0.000 0.000
La 0.818 -2.652 2.447
O 4.422 0.331 4.474
K -0.625 3.479 3.970
O 3.625 2.985 1.991
O -0.557 1.510 1.822
O 1.900 2.854 5.285
O 1.965 -1.012 1.012
K 4.490 -1.637 2.326
La -1.734 -0.100 3.267
O 0.239 -1.144 4.305
K 1.932 0.921 3.148
```

Computed properties:
Uncorrected formation energy = -2645.4 meV per atom
Electronic total energy = -79.4 eV for the cell shown
Magnetic moment = 0.0 μB per formula unit